Record 1
A plane-wave DFT calculation with PBE was carried out for YPa2Pd after structural relaxation.

Lattice parameters (Å, degrees): 3.1722 3.1722 11.5169 82.08 82.08 60.00
Closest atoms and distances in Å follow each position.
Positions (direct):
Pa: 0.0787 0.0787 0.7639  1 Pd 2.68
Pa: 0.9213 0.9213 0.2361  1 Pd 2.68
Pd: 0.0000 0.0000 0.0000  2 Pa 2.68
Y: 0.5000 0.5000 0.5000  6 Y 3.17, 6 Pa 3.52

Results
Fermi-level density of states: 7.8 states/eV per cell
formation energy from the elements: 0.21 eV per atom

Record 2
A plane-wave DFT calculation with PBE was carried out for Y2PaPd9 after structural relaxation.

Lattice parameters (Å, degrees): 4.1365 4.1365 12.3978 90.00 90.00 90.00
Closest atoms and distances in Å follow each position.
Positions (direct):
Pd: 0.5000 0.5000 0.0000  8 Pd 2.87, 4 Pa 2.92
Pd: 0.5000 0.5000 0.3311  4 Y 2.93, 8 Pd 2.94-2.95
Pd: 0.5000 0.5000 0.6689  4 Y 2.93, 8 Pd 2.94-2.95
Y: 0.0000 0.0000 0.6616  12 Pd 2.88-3.02
Pd: 0.5000 0.0000 0.5000  4 Y 2.88, 8 Pd 2.92-2.94
Pd: 0.5000 0.0000 0.8390  2 Pa 2.87, 8 Pd 2.87-2.95, 2 Y 3.02
Y: 0.0000 0.0000 0.3384  12 Pd 2.88-3.02
Pd: 0.5000 0.0000 0.1610  2 Pa 2.87, 8 Pd 2.87-2.95, 2 Y 3.02
Pd: 0.0000 0.5000 0.1610  2 Pa 2.87, 8 Pd 2.87-2.95, 2 Y 3.02
Pd: 0.0000 0.5000 0.8390  2 Pa 2.87, 8 Pd 2.87-2.95, 2 Y 3.02
Pd: 0.0000 0.5000 0.5000  4 Y 2.88, 8 Pd 2.92-2.94
Pa: 0.0000 0.0000 0.0000  12 Pd 2.87-2.92

Results
Fermi-level density of states: 2.2 states/eV per cell
formation energy from the elements: -0.88 eV per atom

Record 3
A plane-wave DFT calculation with PBE was carried out for YPaPd after structural relaxation.

Lattice parameters (Å, degrees): 3.1266 7.2147 6.9914 103.66 102.92 90.00
Closest atoms and distances in Å follow each position.
Positions (direct):
Pa: 0.2247 0.1498 0.4494  4 Pa 2.88-3.13, 3 Pd 2.91-3.00
Pd: 0.8368 0.4914 0.6735  2 Y 2.84-2.94, 4 Pd 2.86-3.13, 3 Pa 2.91-3.00
Pa: 0.7753 0.8502 0.5506  4 Pa 2.88-3.13, 3 Pd 2.91-3.00
Y: 0.9744 0.2345 0.9487  2 Pd 2.84-2.94, 2 Y 3.13
Y: 0.0256 0.7655 0.0513  2 Pd 2.84-2.94, 2 Y 3.13
Pd: 0.1632 0.5086 0.3265  2 Y 2.84-2.94, 4 Pd 2.86-3.13, 3 Pa 2.91-3.00

Results
Fermi-level density of states: 8.9 states/eV per cell
formation energy from the elements: -0.04 eV per atom

Record 4
A plane-wave DFT calculation with PBE was carried out for YPaPd6 after structural relaxation.

Lattice parameters (Å, degrees): 4.1399 4.1399 8.2728 90.00 90.00 90.00
Closest atoms and distances in Å follow each position.
Positions (direct):
Pd: 0.0000 0.5000 0.7436  2 Pa 2.89, 8 Pd 2.89-2.96, 2 Y 2.96
Pd: 0.5000 0.5000 0.0000  4 Y 2.93, 8 Pd 2.96
Pd: 0.5000 0.0000 0.7436  8 Pd 2.89-2.96, 2 Pa 2.89, 2 Y 2.96
Pd: 0.5000 0.0000 0.2564  8 Pd 2.89-2.96, 2 Pa 2.89, 2 Y 2.96
Y: 0.0000 0.0000 0.0000  12 Pd 2.93-2.96
Pd: 0.0000 0.5000 0.2564  2 Pa 2.89, 8 Pd 2.89-2.96, 2 Y 2.96
Pd: 0.5000 0.5000 0.5000  8 Pd 2.89, 4 Pa 2.93
Pa: 0.0000 0.0000 0.5000  12 Pd 2.89-2.93

Results
Fermi-level density of states: 2.4 states/eV per cell
formation energy from the elements: -0.86 eV per atom

Record 5
A plane-wave DFT calculation with PBE was carried out for YPa2Pd9 after structural relaxation.

Lattice parameters (Å, degrees): 4.1534 4.1534 12.4300 90.00 90.00 90.00
Closest atoms and distances in Å follow each position.
Positions (direct):
Y: 0.0000 0.0000 0.0000  12 Pd 2.94-2.96
Pd: 0.0000 0.5000 0.1697  2 Pa 2.88, 8 Pd 2.91-2.96, 2 Y 2.96
Pd: 0.5000 0.0000 0.5000  8 Pd 2.93-2.94, 4 Pa 2.96
Pd: 0.0000 0.5000 0.8303  2 Pa 2.88, 8 Pd 2.91-2.96, 2 Y 2.96
Pa: 0.0000 0.0000 0.6693  12 Pd 2.88-2.96
Pa: 0.0000 0.0000 0.3307  12 Pd 2.88-2.96
Pd: 0.5000 0.5000 0.0000  4 Y 2.94, 8 Pd 2.96
Pd: 0.5000 0.5000 0.6659  8 Pd 2.91-2.93, 4 Pa 2.94
Pd: 0.5000 0.5000 0.3341  8 Pd 2.91-2.93, 4 Pa 2.94
Pd: 0.5000 0.0000 0.1697  2 Pa 2.88, 8 Pd 2.91-2.96, 2 Y 2.96
Pd: 0.0000 0.5000 0.5000  8 Pd 2.93-2.94, 4 Pa 2.96
Pd: 0.5000 0.0000 0.8303  2 Pa 2.88, 8 Pd 2.91-2.96, 2 Y 2.96

Results
Fermi-level density of states: 9.0 states/eV per cell
formation energy from the elements: -0.79 eV per atom

Record 6
A plane-wave DFT calculation with PBE was carried out for YPaZnPd after structural relaxation.

Lattice parameters (Å, degrees): 5.0086 5.0086 5.0086 60.00 60.00 60.00
Closest atoms and distances in Å follow each position.
Positions (direct):
Y: 0.0000 0.0000 0.0000  4 Pd 3.07, 4 Zn 3.07
Pa: 0.5000 0.5000 0.5000  4 Zn 3.07, 4 Pd 3.07
Zn: 0.7500 0.7500 0.7500  4 Pa 3.07, 4 Y 3.07
Pd: 0.2500 0.2500 0.2500  4 Pa 3.07, 4 Y 3.07

Results
Fermi-level density of states: 5.5 states/eV per cell
formation energy from the elements: -0.25 eV per atom